No. 1
DFT (GGA-PBE) results for a geometry-optimized Pr5DyMg3 structure.

Cell and atoms, written as POSCAR:
```
Pr5DyMg3
1.0
7.0991 0.0000 0.0000
0.0000 9.6757 0.0000
0.0000 -4.8379 8.3789
Pr Dy Mg
10 2 6
Direct
0.0000 0.6667 0.3333
0.5000 0.3333 0.6667
0.0000 0.3333 0.6667
0.5000 0.6667 0.3333
0.7500 0.6683 0.6683
0.7500 0.0000 0.3317
0.7500 0.3318 0.0000
0.2500 0.3317 0.3317
0.2500 0.0000 0.6683
0.2500 0.6682 0.0000
0.0000 0.0000 0.0000
0.5000 0.0000 0.0000
0.7500 0.3295 0.3295
0.7500 0.0000 0.6705
0.7500 0.6705 0.0000
0.2500 0.6705 0.6705
0.2500 0.0000 0.3295
0.2500 0.3295 0.0000
```

Properties
Its calculated total energy is -3.704 eV/atom.

No. 2
DFT (GGA-PBE) results for a geometry-optimized K2TlW structure.

Cell and atoms, written as POSCAR:
```
K2TlW
1.0
-0.6338 2.6492 -1.3014
-0.8115 -2.2628 -1.8260
-11.3967 -0.1482 5.2484
K Tl W
2 1 1
Direct
0.0000 0.0000 0.9866
0.0000 0.0000 0.5134
0.5000 0.5000 0.2500
0.5000 0.5000 0.7500
```

Properties
For the energy relative to the lowest polymorph listed for this composition, the calculation gives 12.5 kJ/mol of atoms.

no.,volume (Å³/cell)
1,576
2,108